# 1
Computed, not measured: a relaxed La3Pr2Sm6Tl crystal at the PBE level of DFT.

Values from the calculation:
SG = C2/m (12)
Total magnetization = 0.00 μB per formula unit
Energy of formation from the pure elements = -0.030 eV per atom
Density of states at the Fermi level = 1.341 states/eV per atom
Calculated volume = 33.6 A^3/atom

Cell lengths 6.2712, 6.2712, 12.0506 Å; angles 95.03, 95.03, 120.08 degrees
Closest atoms and distances in Å follow each position.
Positions (direct):
Tl (0.0000, 0.0000, 0.0000)  6 Sm 3.56-3.58, 6 Pr 3.62-3.63
La (0.5000, 0.5000, 0.5000)  6 La 3.59-3.64, 6 Sm 3.66-3.68
La (0.1700, 0.8300, 0.5000)  6 La 3.58-3.70, 6 Sm 3.66-3.68
La (0.8300, 0.1700, 0.5000)  6 La 3.58-3.70, 6 Sm 3.66-3.68
Sm (0.0813, 0.4068, 0.2457)  6 Sm 3.53-3.67, 1 Tl 3.56, 2 Pr 3.60-3.61, 3 La 3.66-3.68
Sm (0.4068, 0.0813, 0.2457)  6 Sm 3.53-3.67, 1 Tl 3.56, 2 Pr 3.60-3.61, 3 La 3.66-3.68
Sm (0.2436, 0.2436, 0.7525)  6 Sm 3.53-3.67, 1 Tl 3.58, 2 Pr 3.61, 3 La 3.66-3.68
Sm (0.9187, 0.5932, 0.7543)  6 Sm 3.53-3.67, 1 Tl 3.56, 2 Pr 3.60-3.61, 3 La 3.66-3.68
Sm (0.7564, 0.7564, 0.2475)  6 Sm 3.53-3.67, 1 Tl 3.58, 2 Pr 3.61, 3 La 3.66-3.68
Sm (0.5932, 0.9187, 0.7543)  6 Sm 3.53-3.67, 1 Tl 3.56, 2 Pr 3.60-3.61, 3 La 3.66-3.68
Pr (0.6662, 0.3338, 0.0000)  6 Sm 3.60-3.61, 3 Pr 3.61-3.62, 3 Tl 3.62-3.63
Pr (0.3338, 0.6662, 0.0000)  6 Sm 3.60-3.61, 3 Pr 3.61-3.62, 3 Tl 3.62-3.63

---

# 2
Computed, not measured: a relaxed CsRb2ZnH4 crystal at the PBE level of DFT.

Values from the calculation:
SG = I-4 (82)
Total magnetization = 0.72 μB per formula unit
Energy = -17.8 eV for the cell shown
Density of states at the Fermi level = 0.335 states/eV per atom
Calculated volume = 26.6 A^3/atom

Cell lengths 6.5358, 6.5358, 6.5358 Å; angles 103.19, 112.70, 112.70 degrees
Closest atoms and distances in Å follow each position.
Positions (direct):
Rb (0.0000, 0.0000, 0.0000)  4 H 3.38
Rb (0.5000, 0.7500, 0.2500)  4 H 2.90
H (0.0268, 0.5280, 0.2596)  1 Zn 1.69
H (0.2684, 0.7404, 0.7673)  1 Zn 1.69
H (0.7316, 0.4989, 0.4720)  1 Zn 1.69
H (0.9732, 0.2327, 0.5011)  1 Zn 1.69
Zn (0.0000, 0.5000, 0.5000)  4 H 1.69
Cs (0.5000, 0.2500, 0.7500)  4 H 3.13

---

# 3
Computed, not measured: a relaxed VOs2Ru2 crystal at the PBE level of DFT.

Values from the calculation:
SG = P4/mbm (127)
Total magnetization = 0.00 μB per formula unit
Energy of formation from the pure elements = 0.253 eV per atom
Energy above the lowest structure with this stoichiometry = 227 meV/atom
Density of states at the Fermi level = 0.995 states/eV per atom
Calculated volume = 15.0 A^3/atom

Cell lengths 7.3979, 7.3979, 2.7445 Å; angles 90.00, 90.00, 90.00 degrees
Closest atoms and distances in Å follow each position.
Positions (direct):
V (0.0000, 0.0000, 0.0000)  2 V 2.74, 4 Os 2.93, 8 Ru 3.06
V (0.5000, 0.5000, 0.0000)  2 V 2.74, 4 Os 2.93, 8 Ru 3.06
Ru (0.8282, 0.3282, 0.5000)  6 Os 2.54-2.61, 2 Ru 2.74
Ru (0.6718, 0.8282, 0.5000)  6 Os 2.54-2.61, 2 Ru 2.74
Ru (0.1718, 0.6718, 0.5000)  6 Os 2.54-2.61, 2 Ru 2.74
Ru (0.3282, 0.1718, 0.5000)  6 Os 2.54-2.61, 2 Ru 2.74
Os (0.3756, 0.8756, 0.0000)  6 Ru 2.54-2.61, 3 Os 2.60-2.74
Os (0.1244, 0.3756, 0.0000)  6 Ru 2.54-2.61, 3 Os 2.60-2.74
Os (0.8756, 0.6244, 0.0000)  6 Ru 2.54-2.61, 3 Os 2.60-2.74
Os (0.6244, 0.1244, 0.0000)  6 Ru 2.54-2.61, 3 Os 2.60-2.74

---

# 4
Computed, not measured: a relaxed Ba2YRe crystal at the PBE level of DFT.

Values from the calculation:
SG = P4/mmm (123)
Total magnetization = 0.69 μB per formula unit
Energy of formation from the pure elements = 1.001 eV per atom
Energy above the lowest structure with this stoichiometry = 445 meV/atom
Density of states at the Fermi level = 1.312 states/eV per atom
Calculated volume = 31.0 A^3/atom

Cell lengths 4.7246, 4.7300, 5.5542 Å; angles 90.00, 90.00, 90.00 degrees
Closest atoms and distances in Å follow each position.
Positions (direct):
Re (0.5000, 0.0000, 0.5000)  4 Y 3.34, 8 Ba 3.65
Ba (0.0000, 0.0000, 0.0000)  4 Ba 3.34, 4 Re 3.65, 4 Y 3.65
Ba (0.5000, 0.5000, 0.0000)  4 Ba 3.34, 4 Y 3.65, 4 Re 3.65
Y (0.0000, 0.5000, 0.5000)  4 Re 3.34, 8 Ba 3.65

---

# 5
Computed, not measured: a relaxed Dy4YTlS8 crystal at the PBE level of DFT.

Values from the calculation:
SG = R3m (160)
Total magnetization = 0.00 μB per formula unit
Calculated volume = 28.0 A^3/atom
Uncorrected formation energy = -25.47 eV per formula unit

Cell lengths 8.2081, 8.2081, 8.2182 Å; angles 60.04, 60.04, 60.00 degrees
Closest atoms and distances in Å follow each position.
Positions (direct):
S (0.7574, 0.7574, 0.7277)  4 Dy 2.66-2.87
S (0.2332, 0.2332, 0.3004)  3 Dy 2.67, 1 Tl 2.85
S (0.2277, 0.7574, 0.2575)  3 Dy 2.66-2.87, 1 Y 2.87
S (0.7993, 0.2340, 0.7328)  2 Dy 2.67, 1 Y 2.68, 1 Tl 2.85
S (0.2340, 0.7993, 0.7328)  2 Dy 2.67, 1 Y 2.68, 1 Tl 2.85
S (0.7574, 0.7574, 0.2575)  3 Dy 2.66-2.87, 1 Y 2.87
S (0.2340, 0.2340, 0.7328)  2 Dy 2.67, 1 Y 2.68, 1 Tl 2.85
S (0.7574, 0.2277, 0.2575)  3 Dy 2.66-2.87, 1 Y 2.87
Tl (0.3745, 0.3745, 0.8764)  4 S 2.85
Dy (0.4878, 0.0040, 0.5042)  6 S 2.67-2.87
Dy (0.0040, 0.0040, 0.5042)  6 S 2.67-2.87
Dy (0.6252, 0.6252, 0.1245)  4 S 2.66
Dy (0.0040, 0.4878, 0.5042)  6 S 2.67-2.87
Y (0.0041, 0.0041, 0.9876)  6 S 2.68-2.87

---

# 6
Computed, not measured: a relaxed SnTePd2 crystal at the PBE level of DFT.

Values from the calculation:
SG = I-42d (122)
Total magnetization = 0.00 μB per formula unit
Energy above the lowest structure with this stoichiometry = 222 meV/atom
Density of states at the Fermi level = 0.367 states/eV per atom
Calculated volume = 23.2 A^3/atom
Uncorrected formation energy = -0.93 eV per formula unit

Cell lengths 4.7146, 4.7146, 8.9932 Å; angles 74.80, 74.80, 90.00 degrees
Closest atoms and distances in Å follow each position.
Positions (direct):
Sn (0.2500, 0.7500, 0.5000)  4 Pd 2.68
Sn (0.5000, 0.5000, 0.0000)  4 Pd 2.68
Te (0.0000, 0.0000, 0.0000)  4 Pd 2.66
Te (0.7500, 0.2500, 0.5000)  4 Pd 2.66
Pd (0.3750, 0.3696, 0.7500)  2 Te 2.66, 2 Sn 2.68
Pd (0.6304, 0.1250, 0.2500)  2 Te 2.66, 2 Sn 2.68
Pd (0.1196, 0.6250, 0.2500)  2 Te 2.66, 2 Sn 2.68
Pd (0.8750, 0.8804, 0.7500)  2 Te 2.66, 2 Sn 2.68

---

# 7
Computed, not measured: a relaxed PrMnPdRh crystal at the PBE level of DFT.

Values from the calculation:
SG = F-43m (216)
Total magnetization = 4.43 μB per formula unit
Energy of formation from the pure elements = -0.311 eV per atom
Density of states at the Fermi level = 0.425 states/eV per atom
Calculated volume = 19.2 A^3/atom

Cell lengths 4.7686, 4.7686, 4.7686 Å; angles 60.00, 60.00, 60.00 degrees
Closest atoms and distances in Å follow each position.
Positions (direct):
Pr (0.2500, 0.2500, 0.2500)  4 Rh 2.92, 4 Pd 2.92
Mn (0.7500, 0.7500, 0.7500)  4 Pd 2.92, 4 Rh 2.92
Rh (0.5000, 0.5000, 0.5000)  4 Mn 2.92, 4 Pr 2.92
Pd (0.0000, 0.0000, 0.0000)  4 Mn 2.92, 4 Pr 2.92

---

# 8
Computed, not measured: a relaxed FeHg2Ru crystal at the PBE level of DFT.

Values from the calculation:
SG = P4/mmm (123)
Total magnetization = 4.23 μB per formula unit
Energy of formation from the pure elements = 0.576 eV per atom
Energy above the lowest structure with this stoichiometry = 244 meV/atom
Density of states at the Fermi level = 0.680 states/eV per atom
Calculated volume = 17.2 A^3/atom

Cell lengths 2.9166, 2.9166, 8.0898 Å; angles 90.00, 90.00, 90.06 degrees
Closest atoms and distances in Å follow each position.
Positions (direct):
Hg (0.0000, 0.0000, 0.9955)  4 Fe 2.86, 4 Ru 2.91, 4 Hg 2.92
Hg (0.0000, 0.0000, 0.5045)  4 Fe 2.86, 4 Ru 2.91, 4 Hg 2.92
Ru (0.5000, 0.5000, 0.2500)  8 Hg 2.91, 4 Ru 2.92
Fe (0.5000, 0.5000, 0.7500)  8 Hg 2.86, 4 Fe 2.92